VASP calculation (GGA-PBE) on an optimized crystal structure of U2Tl3CdTe6.

abc: 7.6570 13.2792 8.6379
angles: 90.00 107.17 90.00
Space group C2/m (No. 12)
Asymmetric unit:
U 0.0000 0.1666 0.0000 x4
Tl 0.0000 0.0000 0.5000 x2
Tl 0.0000 0.3323 0.5000 x4
Cd 0.0000 0.5000 0.0000 x2
Te 0.2364 0.0000 0.2133 x4
Te 0.2391 0.3322 0.2144 x8

Total moment in μB/f.u.: 5.018
Electronic total energy in eV/atom: -4.588
ΔE_f (raw) in eV per formula unit: -5.6